(1)
16
Lattice="4.250 0.000 0.000 0.000 4.250 0.000 0.000 0.000 8.669" Properties=species:S:1:pos:R:3 comment="Mg6SiBO8, relaxed, DFT PBE" energy_ev_per_fu=-92.5 e_form_raw_ev_per_atom=-1.946 polymorph_energy_kj_per_mol_atoms=5.7 pbc="T T T"
O 2.125 2.125 6.401
O 0.000 2.125 0.000
O 0.000 0.000 6.539
O 2.125 0.000 4.334
O 0.000 0.000 2.130
O 0.000 2.125 4.334
O 2.125 2.125 2.268
O 2.125 0.000 0.000
B 2.125 2.125 0.000
Mg 0.000 2.125 6.510
Mg 2.125 0.000 6.510
Mg 0.000 0.000 4.334
Mg 2.125 2.125 4.334
Mg 2.125 0.000 2.159
Mg 0.000 2.125 2.159
Si 0.000 0.000 0.000

***

(2)
12
Lattice="5.270 0.000 0.000 -2.635 4.564 0.000 0.000 0.000 7.422" Properties=species:S:1:pos:R:3 comment="Sr3MgB2O6, relaxed, DFT PBE" energy_ev_per_fu=-79.6 e_form_raw_ev_per_atom=-2.485 pbc="T T T"
O 2.635 2.915 5.029
O 0.000 1.650 2.393
O -1.207 3.739 2.393
O 1.207 3.739 2.393
O 1.429 0.825 5.029
O 3.842 0.825 5.029
B 0.000 3.043 2.299
B 2.635 1.521 5.123
Sr 0.000 0.000 0.000
Sr 0.000 3.043 5.200
Sr 2.635 1.521 2.221
Mg 0.000 0.000 3.711

***

(3)
36
Lattice="5.385 0.000 0.000 0.000 6.608 -0.022 0.000 2.615 11.825" Properties=species:S:1:pos:R:3 comment="SrMgB2O5, relaxed, DFT PBE" energy_ev_per_fu=-66.0 e_form_raw_ev_per_atom=-2.735 pbc="T T T"
O 2.008 7.872 10.246
O 2.275 4.324 11.249
O 0.417 3.016 5.337
O 3.237 4.531 9.101
O 3.698 6.753 4.507
O 1.005 1.163 1.383
O 0.802 4.151 0.767
O 4.841 3.223 3.189
O 0.684 6.565 4.334
O 3.495 3.765 5.123
O 4.701 2.658 7.468
O 3.110 4.899 0.553
O 1.891 5.458 6.679
O 0.545 6.000 8.614
O 2.148 4.693 2.701
O 4.968 6.207 6.465
O 3.377 1.351 1.556
O 4.583 5.073 11.036
O 4.380 8.060 10.420
O 1.687 2.470 7.295
B 0.459 2.689 6.725
B 2.233 1.382 0.812
B 3.413 4.660 10.439
B 4.665 3.353 4.527
B 0.720 5.871 7.275
B 4.926 6.534 5.078
B 3.152 7.841 10.990
B 1.972 4.563 1.363
Sr 0.581 3.327 9.588
Sr 3.274 7.203 8.127
Sr 4.804 5.896 2.214
Sr 2.112 2.020 3.676
Mg 2.259 5.352 4.638
Mg 4.951 2.564 1.252
Mg 3.127 3.871 7.164
Mg 0.434 6.660 10.551

***

(4)
20
Lattice="4.968 -0.153 -0.158 1.407 6.091 0.218 1.407 -0.008 6.095" Properties=species:S:1:pos:R:3 comment="MgB2TeO6, relaxed, DFT PBE" energy_ev_per_fu=-67.7 e_form_raw_ev_per_atom=-1.982 pbc="T T T"
B 5.690 3.689 4.924
B 3.206 4.860 3.948
B 4.574 1.071 2.206
B 2.091 2.241 1.231
O 4.507 -0.066 1.229
O 1.816 3.624 0.897
O 5.757 4.623 6.096
O 3.497 2.129 1.835
O 6.767 4.099 3.879
O 4.299 0.686 3.575
O 3.273 5.996 4.925
O 4.284 3.801 4.319
O 3.481 5.244 2.579
O 2.023 1.307 0.059
O 5.965 2.307 5.257
O 1.013 1.831 2.275
Te 2.648 1.827 4.250
Te 5.132 4.103 1.905
Mg 2.648 5.469 0.741
Mg 5.132 0.462 5.413

***

(5)
16
Lattice="-3.318 1.199 -2.329 1.212 -2.630 -3.080 -4.823 -6.407 3.573" Properties=species:S:1:pos:R:3 comment="Mg6TiBO8, relaxed, DFT PBE" energy_ev_per_fu=-98.8 e_form_raw_ev_per_atom=-2.186 polymorph_energy_kj_per_mol_atoms=0.5 pbc="T T T"
B -2.411 -3.204 1.787
O -1.806 -4.519 0.246
O -1.659 0.600 -1.165
O -1.131 -1.502 0.838
O -2.260 -2.318 -1.811
O -3.692 -4.905 2.735
O -4.071 -2.604 0.622
O -4.670 -5.520 -0.025
O 0.606 -1.315 -1.540
Mg -2.924 -1.080 -0.228
Mg -5.218 -4.128 1.472
Mg -2.953 -6.042 1.096
Mg -1.053 -0.716 -2.705
Mg -0.659 -2.995 -0.603
Mg -3.465 -3.919 -0.918
Ti 0.000 0.000 0.000

***

(6)
16
Lattice="-2.281 3.125 1.699 -3.355 -1.220 -2.261 -2.443 -5.312 6.490" Properties=species:S:1:pos:R:3 comment="Mg6TiBO8, relaxed, DFT PBE" energy_ev_per_fu=-98.9 e_form_raw_ev_per_atom=-2.191 polymorph_energy_kj_per_mol_atoms=0.0 pbc="T T T"
O -2.899 -3.266 2.114
O -1.141 1.563 0.850
O -2.362 -1.094 4.095
O -0.601 -1.307 1.597
O -4.617 -2.959 4.498
O -1.678 -0.610 -1.131
O -1.842 -4.005 4.893
O -3.462 -0.448 1.430
Mg -3.508 -4.589 3.731
Mg -2.290 -1.943 0.498
Mg -4.040 -1.703 2.964
Mg -1.222 -2.656 3.245
Mg -1.754 0.230 2.478
Mg -2.971 -2.417 5.711
B -2.818 0.953 -0.281
Ti 0.000 0.000 0.000

***

(7)
36
Lattice="3.046 0.000 0.000 0.000 9.402 0.000 0.000 0.000 12.476" Properties=species:S:1:pos:R:3 comment="Mg2TiBO5, relaxed, DFT PBE" energy_ev_per_fu=-66.9 e_form_raw_ev_per_atom=-2.706 pbc="T T T"
Mg 1.523 9.366 9.745
Mg 1.523 0.000 6.238
Mg 1.523 4.737 3.507
Mg 1.523 4.701 0.000
Mg 1.523 0.036 2.731
Mg 0.000 4.701 6.238
Mg 0.000 0.000 0.000
Mg 1.523 4.665 8.969
Ti 0.000 6.971 1.436
Ti 0.000 2.431 11.040
Ti 0.000 7.132 7.675
Ti 0.000 2.270 4.802
B 0.000 2.575 1.742
B 0.000 6.827 10.734
B 0.000 7.276 4.496
B 0.000 2.126 7.980
O 0.000 1.407 9.183
O 0.000 5.894 4.466
O 0.000 3.290 0.539
O 1.523 8.327 0.965
O 1.523 1.076 11.511
O 1.523 5.777 7.203
O 0.000 1.411 6.777
O 1.523 3.625 5.273
O 0.000 8.210 10.704
O 0.000 7.992 5.699
O 0.000 3.509 8.010
O 1.523 5.706 1.775
O 1.523 8.397 8.013
O 0.000 6.108 9.532
O 0.000 6.112 11.937
O 0.000 7.995 3.294
O 0.000 1.193 1.772
O 1.523 1.005 4.463
O 1.523 3.696 10.701
O 0.000 3.294 2.945

***

(8)
20
Lattice="-1.146 -3.737 4.725 0.481 -3.872 -4.730 5.808 1.707 0.975" Properties=species:S:1:pos:R:3 comment="Mg3UB4O12, relaxed, DFT PBE" energy_ev_per_fu=-152.3 e_form_raw_ev_per_atom=-2.499 pbc="T T T"
O 4.979 -1.275 -2.112
O 5.543 -0.416 0.182
O 1.017 -3.735 3.994
O 3.234 -3.006 -3.365
O 4.741 -0.678 2.808
O 2.803 -2.970 -0.857
O 3.328 -2.159 1.295
O 1.163 -4.710 -2.719
O 2.869 -2.062 4.289
O 1.585 -3.724 1.017
O -0.140 -5.507 -0.723
O -0.260 -5.168 2.012
B 2.572 -2.951 0.485
B 1.834 -2.889 4.775
B 0.155 -5.483 -2.104
B 5.727 -0.481 -1.216
Mg -0.423 -3.797 0.526
Mg 2.847 -1.395 -2.196
Mg 2.720 -0.710 2.640
U 0.000 0.000 0.000

***

(9)
44
Lattice="-2.011 4.668 5.365 -6.604 1.889 -4.119 -4.902 -7.298 4.512" Properties=species:S:1:pos:R:3 comment="MgUB2O7, relaxed, DFT PBE" energy_ev_per_fu=-91.3 e_form_raw_ev_per_atom=-2.762 pbc="T T T"
O -5.734 -3.182 3.841
O -6.404 3.413 0.152
O -4.021 2.180 3.553
O -5.835 -1.322 1.276
O -6.979 1.158 0.039
O -2.800 -2.190 3.169
O -7.783 2.440 1.916
O -7.451 4.803 2.468
O -5.334 2.094 5.618
O -9.383 -2.425 6.459
O -9.496 -2.921 2.204
O -4.135 1.683 -0.701
O -8.684 -0.633 1.952
O -6.066 -5.544 3.290
O -4.255 4.093 4.806
O -10.718 1.449 2.588
O -9.262 -4.834 0.952
O -4.833 -0.109 3.805
O -7.683 0.581 4.481
O -8.736 3.282 3.831
O -8.183 -2.835 0.139
O -9.993 -1.182 3.799
O -7.113 -4.154 5.605
O -6.538 -1.900 5.718
O -3.524 0.441 1.959
O -7.170 2.551 -2.594
O -4.781 -4.024 1.927
O -6.348 -3.293 8.352
B -7.974 3.590 2.750
B -4.132 0.845 3.119
B -8.934 -3.519 1.030
B -5.543 -4.331 3.008
B -9.385 -1.586 2.639
B -7.058 2.350 0.712
B -6.459 -3.091 5.045
B -4.583 2.777 4.728
Mg -5.878 0.046 5.551
Mg -2.358 1.215 0.445
Mg -7.640 -0.787 0.207
Mg -11.159 -1.957 5.313
U -4.295 -1.749 2.190
U -9.222 1.008 3.567
U -5.661 2.079 -1.652
U -7.857 -2.820 7.410